(1)
# PmSmDyY

A relaxed PmSmDyY crystal (PBE, the Alexandria database).

Values from the calculation:
Its volume is 133 Å³/cell. The calculation puts the total magnetization at 0.00 μB per cell. Its space group is F-43m.

a b c (Å): 5.732 5.732 5.732
angles (deg): 60.00 60.00 60.00
Fractional coordinates of all 4 atoms:
Y (0.750, 0.750, 0.750)
Pm (0.500, 0.500, 0.500)
Sm (0.000, 0.000, 0.000)
Dy (0.250, 0.250, 0.250)

(2)
# PmSmDyY

A relaxed PmSmDyY crystal (PBE, the Alexandria database).

Values from the calculation:
Its volume is 132 Å³/cell. The calculation puts the total magnetization at 0.00 μB per cell. Its space group is I-4m2.

a b c (Å): 5.099 5.096 6.223
angles (deg): 114.17 114.18 90.00
Fractional coordinates of all 4 atoms:
Pm (0.945, 0.945, 0.891)
Sm (0.196, 0.696, 0.391)
Dy (0.696, 0.196, 0.391)
Y (0.446, 0.446, 0.891)

Tell me which of them is the most stable. Sure, it is (2).

(1)
# PmSmDyZn

A relaxed PmSmDyZn crystal (PBE, the Alexandria database).

Values from the calculation:
Its volume is 112 Å³/cell. The calculation puts the total magnetization at 0.00 μB per cell. Its space group is F-43m.

a b c (Å): 5.406 5.406 5.406
angles (deg): 60.00 60.00 60.00
Fractional coordinates of all 4 atoms:
Zn (0.000, 0.000, 0.000)
Pm (0.500, 0.500, 0.500)
Sm (0.250, 0.250, 0.250)
Dy (0.750, 0.750, 0.750)

(2)
# PmSmDyZn

A relaxed PmSmDyZn crystal (PBE, the Alexandria database).

Values from the calculation:
Its volume is 114 Å³/cell. The calculation puts the total magnetization at 0.00 μB per cell. Its space group is P4mm.

a b c (Å): 3.615 3.615 8.727
angles (deg): 90.00 90.00 90.00
Fractional coordinates of all 4 atoms:
Pm (0.000, 0.000, 0.076)
Sm (0.500, 0.500, 0.777)
Dy (0.500, 0.500, 0.367)
Zn (0.000, 0.000, 0.563)

Tell me which of them is the most stable. Sure, it is (2).